1.
Here is an optimized crystal structure of Pu2CoSi6Tc from Alexandria. Energies are from PBE.

E_form (uncorrected): -388 meV per atom
Volume: 17.3 Å³ per atom
Symmetry: R-3m (166)
D(E_F): 14.44 states/eV/f.u.

a = 5.813 Å, b = 5.813 Å, c = 12.312 Å
α = 76.34°, β = 76.34°, γ = 60.00°
Last column: magnetic moment on the atom in μB.
Sites, in units of the cell vectors:
Si 0.811 0.226 0.152  -0.04
Pu 0.874 0.874 0.377  4.97
Tc 0.577 0.577 0.268  -0.11
Pu 0.281 0.281 0.156  5.16
Tc 0.423 0.423 0.732  -0.11
Pu 0.126 0.126 0.623  4.97
Si 0.340 0.929 0.392  -0.03
Co 0.500 0.500 0.500  0.35
Si 0.811 0.811 0.152  -0.04
Si 0.189 0.774 0.848  -0.04
Si 0.189 0.189 0.848  -0.04
Co 0.000 0.000 0.000  -0.25
Si 0.774 0.189 0.848  -0.04
Pu 0.719 0.719 0.844  5.16
Si 0.660 0.660 0.608  -0.03
Si 0.071 0.660 0.608  -0.03
Si 0.340 0.340 0.392  -0.03
Si 0.660 0.071 0.608  -0.03
Si 0.226 0.811 0.152  -0.04
Si 0.929 0.340 0.392  -0.03



2.
Here is an optimized crystal structure of Sm2PuCo from Alexandria. Energies are from PBE.

Volume: 25.8 Å³ per atom
Excess energy over the best structure of this formula in the dataset: 0.0 meV/atom
Symmetry: P4/mmm (123)
Energy of formation: 0.084 eV per atom
D(E_F): 8.02 states/eV/f.u.

a = 3.439 Å, b = 3.439 Å, c = 8.711 Å
α = 90.00°, β = 90.00°, γ = 90.00°
Last column: magnetic moment on the atom in μB.
Sites, in units of the cell vectors:
Co 0.500 0.500 0.000  1.11
Sm 0.000 0.000 0.193  0.03
Pu 0.500 0.500 0.500  5.79
Sm 0.000 0.000 0.807  0.03



3.
Here is an optimized crystal structure of Sm2PuCo9 from Alexandria. Energies are from PBE.

Volume: 14.7 Å³ per atom
Symmetry: R-3m (166)
Energy of formation: -0.002 eV per atom
D(E_F): 31.93 states/eV/f.u.

a = 4.981 Å, b = 4.981 Å, c = 8.724 Å
α = 73.41°, β = 73.41°, γ = 60.00°
Last column: magnetic moment on the atom in μB.
Sites, in units of the cell vectors:
Co 0.420 0.920 0.240  1.24
Sm 0.139 0.139 0.583  -0.22
Pu 0.000 0.000 0.000  4.63
Co 0.420 0.420 0.240  1.24
Co 0.080 0.580 0.760  1.24
Co 0.500 0.500 0.500  1.14
Co 0.580 0.080 0.760  1.24
Co 0.666 0.666 0.001  1.21
Co 0.920 0.420 0.240  1.24
Co 0.580 0.580 0.760  1.24
Sm 0.861 0.861 0.417  -0.22
Co 0.334 0.334 0.999  1.21



4.
Here is an optimized crystal structure of Sm2PuCo2 from Alexandria. Energies are from PBE.

Volume: 21.8 Å³ per atom
Symmetry: C2/c (15)
Energy of formation: -0.121 eV per atom
D(E_F): 10.28 states/eV/f.u.

a = 5.995 Å, b = 5.896 Å, c = 7.297 Å
α = 98.95°, β = 90.00°, γ = 120.56°
Last column: magnetic moment on the atom in μB.
Sites, in units of the cell vectors:
Co 0.294 0.300 0.511  -0.70
Co 0.706 0.700 0.489  -0.70
Sm 0.534 0.302 0.147  0.12
Sm 0.232 0.698 0.353  0.12
Pu 0.091 0.000 0.750  5.05
Co 0.006 0.300 0.011  -0.70
Pu 0.909 0.000 0.250  5.05
Sm 0.768 0.302 0.647  0.12
Sm 0.466 0.698 0.853  0.12
Co 0.994 0.700 0.989  -0.70



5.
Here is an optimized crystal structure of Sm3PuCo from Alexandria. Energies are from PBE.

Volume: 30.8 Å³ per atom
Symmetry: Pm-3m (221)
Energy of formation: 0.170 eV per atom
D(E_F): 16.41 states/eV/f.u.

a = 5.362 Å, b = 5.362 Å, c = 5.362 Å
α = 90.00°, β = 90.00°, γ = 90.00°
Last column: magnetic moment on the atom in μB.
Sites, in units of the cell vectors:
Sm 0.500 0.000 0.000  0.14
Co 0.000 0.000 0.000  0.08
Pu 0.500 0.500 0.500  5.73
Sm 0.000 0.000 0.500  0.14
Sm 0.000 0.500 0.000  0.14



6.
Here is an optimized crystal structure of SmPu2Co9 from Alexandria. Energies are from PBE.

Volume: 14.3 Å³ per atom
Symmetry: R-3m (166)
Energy of formation: -0.132 eV per atom
D(E_F): 22.19 states/eV/f.u.

a = 4.939 Å, b = 4.939 Å, c = 8.634 Å
α = 73.38°, β = 73.38°, γ = 60.00°
Last column: magnetic moment on the atom in μB.
Sites, in units of the cell vectors:
Pu 0.860 0.860 0.420  5.17
Co 0.667 0.667 0.000  -1.44
Co 0.333 0.333 0.000  -1.44
Co 0.081 0.582 0.754  -1.27
Co 0.582 0.582 0.754  -1.27
Co 0.418 0.418 0.246  -1.27
Co 0.418 0.919 0.246  -1.27
Co 0.582 0.081 0.754  -1.27
Co 0.919 0.418 0.246  -1.27
Sm 0.000 0.000 0.000  0.24
Pu 0.140 0.140 0.580  5.17
Co 0.500 0.500 0.500  -1.11